Compound: NaSnPdI2
Source: Alexandria via LeMat-Bulk
Functional: SCAN
Structure: single point on PBEsol structure

Computed properties:
formation energy from raw total energies	-290	meV/atom

```
NaSnPdI2
1.0
-4.0397 0.5501 -2.9236
1.3237 -4.8383 -2.7394
-3.1199 -2.9772 3.7508
I Na Sn Pd
2 1 1 1
direct
0.0000 0.0000 0.5000 I
0.0000 0.5000 0.0000 I
0.5000 0.5000 0.5000 Na
0.5000 0.0000 0.0000 Sn
0.0000 0.0000 0.0000 Pd
```

***

Compound: TbAl3B4O12
Source: Alexandria via LeMat-Bulk
Functional: SCAN
Structure: single point on PBEsol structure

Computed properties:
formation energy from raw total energies	-3133	meV/atom

```
TbAl3B4O12
1.0
-3.4498 4.1238 2.4006
0.7994 -3.9392 4.3027
5.2391 2.6221 -0.5886
Tb Al B O
1 3 4 12
direct
0.5000 0.5000 0.5000 Tb
0.9443 0.5000 0.0557 Al
0.5000 0.0557 0.9443 Al
0.0557 0.9443 0.5000 Al
0.5569 0.0000 0.4431 B
0.0000 0.4431 0.5569 B
0.4431 0.5569 0.0000 B
0.0000 0.0000 0.0000 B
0.5287 0.1285 0.2789 O
0.1285 0.2789 0.5287 O
0.8715 0.4713 0.7211 O
0.2789 0.5287 0.1285 O
0.7211 0.8715 0.4713 O
0.4713 0.7211 0.8715 O
0.1490 0.0000 0.8510 O
0.0000 0.8510 0.1490 O
0.8510 0.1490 0.0000 O
0.4083 0.0000 0.5917 O
0.0000 0.5917 0.4083 O
0.5917 0.4083 0.0000 O
```

***

Compound: Ba2MgAl
Source: Alexandria via LeMat-Bulk
Functional: SCAN
Structure: single point on PBEsol structure

Computed properties:
polymorph energy (0 for the lowest one)	24	meV/atom

```
Ba2MgAl
1.0
5.8868 0.0000 0.0000
2.9434 5.0981 0.0000
2.9434 1.6994 4.8065
Mg Ba Al
1 2 1
direct
0.0000 0.0000 0.0000 Mg
0.2500 0.2500 0.2500 Ba
0.7500 0.7500 0.7500 Ba
0.5000 0.5000 0.5000 Al
```

***

Compound: TcRhW2
Source: Alexandria via LeMat-Bulk
Functional: SCAN
Structure: single point on PBEsol structure

Computed properties:
polymorph energy (0 for the lowest one)	107	meV/atom

```
TcRhW2
1.0
2.7376 0.0000 0.0000
0.0000 3.8717 0.0000
0.0000 0.0000 5.5805
Rh Tc W
1 1 2
direct
0.0000 0.0000 0.4978 Rh
0.5000 0.5000 0.7522 Tc
0.0000 0.0000 0.9878 W
0.5000 0.5000 0.2622 W
```

***

Compound: Re2NiB2
Source: Alexandria via LeMat-Bulk
Functional: SCAN
Structure: single point on PBEsol structure

Computed properties:
calculated total energy	-2.56039	Ry/atom

```
Re2NiB2
1.0
-0.5463 -2.4009 -2.2712
3.0072 -3.4544 2.9284
-4.4410 -1.5613 2.7187
Re B Ni
4 4 2
direct
0.5000 0.1809 0.6809 Re
0.5000 0.6809 0.8191 Re
0.5000 0.8191 0.3191 Re
0.5000 0.3191 0.1809 Re
0.0000 0.3828 0.8828 B
0.0000 0.8828 0.6172 B
0.0000 0.6172 0.1172 B
0.0000 0.1172 0.3828 B
0.0000 0.0000 0.0000 Ni
0.0000 0.5000 0.5000 Ni
```

***

Compound: K2TeMo2P2O14
Source: Alexandria via LeMat-Bulk
Functional: SCAN
Structure: single point on PBEsol structure

Computed properties:
formation energy from raw total energies	-2193	meV/atom

```
K2TeMo2P2O14
1.0
-6.7554 -1.7210 5.1549
4.8622 -9.4260 3.2248
5.6165 6.1136 9.4014
K Te Mo P O
8 4 8 8 56
direct
0.0268 0.2222 0.3021 K
0.9732 0.7778 0.6979 K
0.4732 0.7222 0.1979 K
0.0268 0.2778 0.6979 K
0.5268 0.2778 0.8021 K
0.9732 0.7222 0.3021 K
0.4732 0.7778 0.8021 K
0.5268 0.2222 0.1979 K
0.1325 0.2500 0.0000 Te
0.8675 0.7500 0.0000 Te
0.3675 0.7500 0.5000 Te
0.6325 0.2500 0.5000 Te
0.2359 0.4808 0.3789 Mo
0.7641 0.5192 0.6211 Mo
0.2641 0.9808 0.1211 Mo
0.2359 0.0192 0.6211 Mo
0.7359 0.0192 0.8789 Mo
0.7641 0.9808 0.3789 Mo
0.2641 0.5192 0.8789 Mo
0.7359 0.4808 0.1211 Mo
0.3560 0.0087 0.3704 P
0.6440 0.9913 0.6296 P
0.1440 0.5087 0.1296 P
0.3560 0.4913 0.6296 P
0.8560 0.4913 0.8704 P
0.6440 0.5087 0.3704 P
0.1440 0.9913 0.8704 P
0.8560 0.0087 0.1296 P
0.2690 0.0594 0.4685 O
0.7310 0.9406 0.5315 O
0.2310 0.5594 0.0315 O
0.2690 0.4406 0.5315 O
0.7690 0.4406 0.9685 O
0.7310 0.5594 0.4685 O
0.2310 0.9406 0.9685 O
0.7690 0.0594 0.0315 O
0.3137 0.3473 0.3355 O
0.6863 0.6527 0.6645 O
0.1863 0.8473 0.1645 O
0.3137 0.1527 0.6645 O
0.8137 0.1527 0.8355 O
0.6863 0.8473 0.3355 O
0.1863 0.6527 0.8355 O
0.8137 0.3473 0.1645 O
0.0226 0.0556 0.1259 O
0.9774 0.9444 0.8741 O
0.4774 0.5556 0.3741 O
0.0226 0.4444 0.8741 O
0.5226 0.4444 0.6259 O
0.9774 0.5556 0.1259 O
0.4774 0.9444 0.6259 O
0.5226 0.0556 0.3741 O
0.2819 0.1558 0.0711 O
0.7181 0.8442 0.9289 O
0.2181 0.6558 0.4289 O
0.2819 0.3442 0.9289 O
0.7819 0.3442 0.5711 O
0.7181 0.6558 0.0711 O
0.2181 0.8442 0.5711 O
0.7819 0.1558 0.4289 O
0.0433 0.4524 0.3763 O
0.9567 0.5476 0.6237 O
0.4567 0.9524 0.1237 O
0.0433 0.0476 0.6237 O
0.5433 0.0476 0.8763 O
0.9567 0.9524 0.3763 O
0.4567 0.5476 0.8763 O
0.5433 0.4524 0.1237 O
0.2726 0.0575 0.2696 O
0.7274 0.9425 0.7304 O
0.2274 0.5575 0.2304 O
0.2726 0.4425 0.7304 O
0.7726 0.4425 0.7696 O
0.7274 0.5575 0.2696 O
0.2274 0.9425 0.7696 O
0.7726 0.0575 0.2304 O
0.1526 0.3692 0.1317 O
0.8474 0.6308 0.8683 O
0.3474 0.8692 0.3683 O
0.1526 0.1308 0.8683 O
0.6526 0.1308 0.6317 O
0.8474 0.8692 0.1317 O
0.3474 0.6308 0.6317 O
0.6526 0.3692 0.3683 O
```